Model a:
Density functional theory data (PBE) for an optimized crystal structure of Cr2FeOs.

Calculated values
Space-group type: F-43m, No. 216
Volume in A^3/atom: 12.41

POSCAR file:
```
Cr2FeOs
1.0
5.8343 0.0000 0.0000
0.0000 5.8343 0.0000
0.0000 0.0000 5.8343
Cr Fe Os
8 4 4
Direct
0.0000 0.0000 0.0000 Cr
0.0000 0.5000 0.5000 Cr
0.2500 0.2500 0.2500 Cr
0.2500 0.7500 0.7500 Cr
0.5000 0.0000 0.5000 Cr
0.5000 0.5000 0.0000 Cr
0.7500 0.2500 0.7500 Cr
0.7500 0.7500 0.2500 Cr
0.0000 0.0000 0.5000 Fe
0.0000 0.5000 0.0000 Fe
0.5000 0.0000 0.0000 Fe
0.5000 0.5000 0.5000 Fe
0.2500 0.2500 0.7500 Os
0.2500 0.7500 0.2500 Os
0.7500 0.2500 0.2500 Os
0.7500 0.7500 0.7500 Os
```


Model b:
Density functional theory data (PBE) for an optimized crystal structure of Cr2FeOs.

Calculated values
Space-group type: R3m, No. 160
Volume in A^3/atom: 12.49

POSCAR file:
```
Cr2FeOs
1.0
2.6316 0.0000 0.0000
-1.3158 2.2790 0.0000
0.0000 0.0000 24.9902
Cr Fe Os
6 3 3
Direct
0.0000 0.0000 0.0000 Cr
0.0000 0.0000 0.2498 Cr
0.3333 0.6667 0.6667 Cr
0.3333 0.6667 0.9165 Cr
0.6667 0.3333 0.3333 Cr
0.6667 0.3333 0.5831 Cr
0.0000 0.0000 0.5057 Fe
0.3333 0.6667 0.1724 Fe
0.6667 0.3333 0.8391 Fe
0.0000 0.0000 0.7504 Os
0.3333 0.6667 0.4170 Os
0.6667 0.3333 0.0837 Os
```


Model c:
Density functional theory data (PBE) for an optimized crystal structure of Cr2FeOs.

Calculated values
Space-group type: P4/mmm, No. 123
Volume in A^3/atom: 12.24

POSCAR file:
```
Cr2FeOs
1.0
3.6648 0.0000 0.0000
0.0000 3.6648 0.0000
0.0000 0.0000 3.6457
Cr Fe Os
2 1 1
Direct
0.0000 0.5000 0.0000 Cr
0.5000 0.0000 0.0000 Cr
0.0000 0.0000 0.5000 Fe
0.5000 0.5000 0.5000 Os
```


It turns out model c is the most stable, with the second structure 21 meV per atom higher.


Model a:
Density functional theory data (PBE) for an optimized crystal structure of CrFeOs.

Calculated values
Space-group type: Fmm2, No. 42
Volume in A^3/atom: 12.89

POSCAR file:
```
CrFeOs
1.0
2.8903 0.0000 0.0000
0.0000 4.2856 0.0000
0.0000 0.0000 12.4845
Cr Fe Os
4 4 4
Direct
0.0000 0.0000 0.0000 Cr
0.0000 0.5000 0.5000 Cr
0.5000 0.0000 0.5000 Cr
0.5000 0.5000 0.0000 Cr
0.0000 0.0000 0.3423 Fe
0.0000 0.5000 0.8423 Fe
0.5000 0.0000 0.8423 Fe
0.5000 0.5000 0.3423 Fe
0.0000 0.0000 0.6675 Os
0.0000 0.5000 0.1675 Os
0.5000 0.0000 0.1675 Os
0.5000 0.5000 0.6675 Os
```


Model b:
Density functional theory data (PBE) for an optimized crystal structure of CrFeOs.

Calculated values
Space-group type: Imm2, No. 44
Volume in A^3/atom: 12.49

POSCAR file:
```
CrFeOs
1.0
2.6050 0.0000 0.0000
0.0000 3.7047 0.0000
0.0000 0.0000 7.7635
Cr Fe Os
2 2 2
Direct
0.0000 0.0000 0.0000 Cr
0.5000 0.5000 0.5000 Cr
0.0000 0.0000 0.6662 Fe
0.5000 0.5000 0.1662 Fe
0.0000 0.0000 0.3332 Os
0.5000 0.5000 0.8332 Os
```


Model c:
Density functional theory data (PBE) for an optimized crystal structure of CrFeOs.

Calculated values
Space-group type: Cmcm, No. 63
Volume in A^3/atom: 12.54

POSCAR file:
```
CrFeOs
1.0
3.7141 0.0000 0.0000
0.0000 10.9085 0.0000
0.0000 0.0000 3.7142
Cr Fe Os
4 4 4
Direct
0.0000 0.2478 0.2500 Cr
0.0000 0.7522 0.7500 Cr
0.5000 0.2522 0.7500 Cr
0.5000 0.7478 0.2500 Cr
0.0000 0.0831 0.7500 Fe
0.0000 0.9169 0.2500 Fe
0.5000 0.4169 0.2500 Fe
0.5000 0.5831 0.7500 Fe
0.0000 0.4088 0.7500 Os
0.0000 0.5912 0.2500 Os
0.5000 0.0912 0.2500 Os
0.5000 0.9088 0.7500 Os
```


Model d:
Density functional theory data (PBE) for an optimized crystal structure of CrFeOs.

Calculated values
Space-group type: P3m1, No. 156
Volume in A^3/atom: 12.69

POSCAR file:
```
CrFeOs
1.0
2.6408 0.0000 0.0000
-1.3204 2.2870 0.0000
0.0000 0.0000 6.3015
Cr Fe Os
1 1 1
Direct
0.0000 0.0000 0.0000 Cr
0.6667 0.3333 0.3202 Fe
0.3333 0.6667 0.6656 Os
```


It turns out model c is the most stable, with the second structure 31 meV per atom higher.


Model a:
Density functional theory data (PBE) for an optimized crystal structure of CrFeOs.

Calculated values
Space-group type: C2/m, No. 12
Volume in A^3/atom: 12.48

POSCAR file:
```
CrFeOs
1.0
9.4392 0.0000 0.0000
0.0000 2.9272 0.0000
-1.8412 0.0000 5.4188
Cr Fe Os
4 4 4
Direct
0.1794 0.0000 0.3429 Cr
0.3206 0.5000 0.6571 Cr
0.6794 0.5000 0.3429 Cr
0.8206 0.0000 0.6571 Cr
0.1744 0.0000 0.8417 Fe
0.3256 0.5000 0.1583 Fe
0.6744 0.5000 0.8417 Fe
0.8256 0.0000 0.1583 Fe
0.0000 0.5000 0.0000 Os
0.0000 0.5000 0.5000 Os
0.5000 0.0000 0.0000 Os
0.5000 0.0000 0.5000 Os
```


Model b:
Density functional theory data (PBE) for an optimized crystal structure of CrFeOs.

Calculated values
Space-group type: P-6m2, No. 187
Volume in A^3/atom: 12.19

POSCAR file:
```
CrFeOs
1.0
4.0216 0.0000 0.0000
-2.0108 3.4828 0.0000
0.0000 0.0000 2.6099
Cr Fe Os
1 1 1
Direct
0.0000 0.0000 0.0000 Cr
0.3333 0.6667 0.0000 Fe
0.6667 0.3333 0.5000 Os
```


Model c:
Density functional theory data (PBE) for an optimized crystal structure of CrFeOs.

Calculated values
Space-group type: F-43m, No. 216
Volume in A^3/atom: 14.39

POSCAR file:
```
CrFeOs
1.0
5.5687 0.0000 0.0000
0.0000 5.5687 0.0000
0.0000 0.0000 5.5687
Cr Fe Os
4 4 4
Direct
0.0000 0.0000 0.0000 Cr
0.0000 0.5000 0.5000 Cr
0.5000 0.0000 0.5000 Cr
0.5000 0.5000 0.0000 Cr
0.2500 0.2500 0.2500 Fe
0.2500 0.7500 0.7500 Fe
0.7500 0.2500 0.7500 Fe
0.7500 0.7500 0.2500 Fe
0.2500 0.2500 0.7500 Os
0.2500 0.7500 0.2500 Os
0.7500 0.2500 0.2500 Os
0.7500 0.7500 0.7500 Os
```


Model d:
Density functional theory data (PBE) for an optimized crystal structure of CrFeOs.

Calculated values
Space-group type: I4mm, No. 107
Volume in A^3/atom: 12.31

POSCAR file:
```
CrFeOs
1.0
2.6133 0.0000 0.0000
0.0000 2.6133 0.0000
0.0000 0.0000 10.8121
Cr Fe Os
2 2 2
Direct
0.0000 0.0000 0.0000 Cr
0.5000 0.5000 0.5000 Cr
0.0000 0.0000 0.6560 Fe
0.5000 0.5000 0.1560 Fe
0.0000 0.0000 0.3225 Os
0.5000 0.5000 0.8225 Os
```


It turns out model b is the most stable, with the second structure 63 meV per atom higher.